# 1
The following is a GGA-PBE calculation of a geometry-optimized InSi2Se structure, from Alexandria.

Lattice parameters (Å, degrees): 4.7715 4.7715 4.7882 69.82 69.82 107.98
Atoms (fractional coordinates):
1 Si 0.5000 0.5000 0.0000
2 Si 0.0000 0.0000 0.0000
3 In 0.5000 0.0000 0.5000
4 Se 0.0000 0.5000 0.5000

Computed properties:
ρ = 4943 kg/m3
electronic total energy = -4.04 eV/atom
uncorrected formation energy = 224 meV/atom
symmetry = Fmmm
density of states at the Fermi level = 0.306 states/eV/atom


# 2
The following is a GGA-PBE calculation of a geometry-optimized Zr2Ni9Ge structure, from Alexandria.

Lattice parameters (Å, degrees): 3.7248 3.7248 10.9424 90.00 90.00 90.00
Atoms (fractional coordinates):
1 Ni 0.5000 0.0000 0.1538
2 Ni 0.0000 0.5000 0.5000
3 Ni 0.5000 0.5000 0.6740
4 Ni 0.5000 0.5000 0.3260
5 Ni 0.5000 0.0000 0.5000
6 Ni 0.0000 0.5000 0.8462
7 Ni 0.0000 0.5000 0.1538
8 Ni 0.5000 0.0000 0.8462
9 Ni 0.5000 0.5000 0.0000
10 Zr 0.0000 0.0000 0.6731
11 Zr 0.0000 0.0000 0.3269
12 Ge 0.0000 0.0000 0.0000

Computed properties:
ρ = 8568 kg/m3
formation enthalpy at 0 K = -0.379 eV per atom
electronic total energy = -6.52 eV/atom
symmetry = P4/mmm
density of states at the Fermi level = 0.177 states/eV/atom


Q: Look up the electronic total energy of the first one.
A: -4.04 eV/atom